[1]
The following is a PBE-GGA calculation of a geometry-optimized Ag2HSe structure, from Alexandria.

Values from the calculation:
For the distance to the lowest polymorph of the same formula, the calculation gives 0.307 eV per atom. Its volume is 66.8 Å³ per cell. As for the space group: Fm-3m. For the size of the total moment, the calculation gives 1.0 μB per formula unit. The density of states at the Fermi level is 0.84 states/eV per cell. As for the crystal system: cubic.

Cell and atoms, written as POSCAR:
```
Ag2HSe
1.0
0.0000 3.2208 3.2208
3.2208 0.0000 3.2208
3.2208 3.2208 0.0000
Ag Se H
2 1 1
direct
0.7500 0.7500 0.7500 Ag
0.2500 0.2500 0.2500 Ag
0.5000 0.5000 0.5000 Se
0.0000 0.0000 0.0000 H
```



[2]
The following is a PBE-GGA calculation of a geometry-optimized AgHSe2 structure, from Alexandria.

Values from the calculation:
For the distance to the lowest polymorph of the same formula, the calculation gives 0.000 eV per atom. Its volume is 356.1 Å³ per cell. As for the space group: P2/c. For the size of the total moment, the calculation gives 0.0 μB per formula unit. The density of states at the Fermi level is 7.79 states/eV per cell. As for the crystal system: monoclinic.

Cell and atoms, written as POSCAR:
```
AgHSe2
1.0
-3.5570 -0.9865 3.5719
3.8361 -2.9565 3.0036
3.4885 9.8791 6.2025
Ag Se H
4 8 4
direct
0.2576 0.9888 0.3672 Ag
0.7424 0.0112 0.6328 Ag
0.2576 0.5112 0.1328 Ag
0.7424 0.4888 0.8672 Ag
0.2416 0.9540 0.5761 Se
0.7584 0.4540 0.0761 Se
0.2416 0.5460 0.9239 Se
0.7322 0.5045 0.6546 Se
0.2678 0.0045 0.1546 Se
0.2678 0.4955 0.3454 Se
0.7322 0.9955 0.8454 Se
0.7584 0.0460 0.4239 Se
0.0210 0.5185 0.6409 H
0.9790 0.0185 0.1409 H
0.9790 0.4815 0.3591 H
0.0210 0.9815 0.8591 H
```



[3]
The following is a PBE-GGA calculation of a geometry-optimized AgH2Se2 structure, from Alexandria.

Values from the calculation:
For the distance to the lowest polymorph of the same formula, the calculation gives 0.158 eV per atom. Its volume is 178.1 Å³ per cell. As for the space group: P4/mbm. For the size of the total moment, the calculation gives 0.0 μB per formula unit. The density of states at the Fermi level is 1.88 states/eV per cell. As for the crystal system: tetragonal.

Cell and atoms, written as POSCAR:
```
AgH2Se2
1.0
7.4744 0.0000 0.0000
0.0000 7.4744 0.0000
0.0000 0.0000 3.1887
H Ag Se
4 2 4
direct
0.1278 0.6278 0.5000 H
0.8722 0.3722 0.5000 H
0.6278 0.8722 0.5000 H
0.3722 0.1278 0.5000 H
0.5000 0.5000 0.0000 Ag
0.0000 0.0000 0.0000 Ag
0.8062 0.3062 0.0000 Se
0.6938 0.8062 0.0000 Se
0.3062 0.1938 0.0000 Se
0.1938 0.6938 0.0000 Se
```



[4]
The following is a PBE-GGA calculation of a geometry-optimized Ag2HSe2 structure, from Alexandria.

Values from the calculation:
For the distance to the lowest polymorph of the same formula, the calculation gives 0.145 eV per atom. Its volume is 218.3 Å³ per cell. As for the space group: C2/m. For the size of the total moment, the calculation gives 0.0 μB per formula unit. The density of states at the Fermi level is 6.28 states/eV per cell. As for the crystal system: monoclinic.

Cell and atoms, written as POSCAR:
```
Ag2HSe2
1.0
-4.4326 3.6814 2.0043
-1.5160 -4.8940 -5.2513
-0.7766 -7.2590 0.7278
H Se Ag
2 4 4
direct
0.2500 0.2499 0.2501 H
0.7500 0.7501 0.7499 H
0.7723 0.4239 0.4239 Se
0.2723 0.9239 0.9239 Se
0.7277 0.0761 0.0761 Se
0.2277 0.5761 0.5761 Se
0.7500 0.0242 0.4758 Ag
0.2500 0.9758 0.5242 Ag
0.2500 0.5241 0.9759 Ag
0.7500 0.4759 0.0241 Ag
```



[5]
The following is a PBE-GGA calculation of a geometry-optimized Ag3HSe structure, from Alexandria.

Values from the calculation:
For the distance to the lowest polymorph of the same formula, the calculation gives 0.000 eV per atom. Its volume is 352.9 Å³ per cell. As for the space group: P2_1/c. For the size of the total moment, the calculation gives 0.0 μB per formula unit. The density of states at the Fermi level is 1.16 states/eV per cell. As for the crystal system: monoclinic.

Cell and atoms, written as POSCAR:
```
Ag3HSe
1.0
-5.0200 1.9488 0.1858
-3.4785 -8.6515 -3.2381
0.5033 0.6024 7.2779
Ag H Se
12 4 4
direct
0.5311 0.6588 0.6042 Ag
0.2087 0.1828 0.9918 Ag
0.1724 0.5060 0.2229 Ag
0.2913 0.6828 0.9918 Ag
0.4689 0.3412 0.3958 Ag
0.8276 0.4940 0.7771 Ag
0.6724 0.9940 0.7771 Ag
0.7087 0.3172 0.0082 Ag
0.7913 0.8172 0.0082 Ag
0.0311 0.8412 0.3958 Ag
0.3276 0.0060 0.2229 Ag
0.9689 0.1588 0.6042 Ag
0.7636 0.5124 0.5478 H
0.2636 0.9876 0.4522 H
0.7364 0.0124 0.5478 H
0.2364 0.4876 0.4522 H
0.2134 0.8697 0.8018 Se
0.7134 0.6303 0.1982 Se
0.2866 0.3697 0.8018 Se
0.7866 0.1303 0.1982 Se
```



[6]
The following is a PBE-GGA calculation of a geometry-optimized AgHSe2 structure, from Alexandria.

Values from the calculation:
For the distance to the lowest polymorph of the same formula, the calculation gives 0.043 eV per atom. Its volume is 88.1 Å³ per cell. As for the space group: R-3m. For the size of the total moment, the calculation gives 0.0 μB per formula unit. The density of states at the Fermi level is 2.57 states/eV per cell. As for the crystal system: trigonal.

Cell and atoms, written as POSCAR:
```
AgHSe2
1.0
-4.5001 -3.0291 3.7058
-0.8440 -4.5367 4.6760
-2.0275 -0.9415 6.1775
Se Ag H
2 1 1
direct
0.0953 0.0953 0.0953 Se
0.9047 0.9047 0.9047 Se
0.5000 0.5000 0.5000 Ag
0.0000 0.0000 0.0000 H
```



[7]
The following is a PBE-GGA calculation of a geometry-optimized Ag5H2Se3 structure, from Alexandria.

Values from the calculation:
Its volume is 389.0 Å³ per cell. The total energy comes out at -3.031 eV/atom. As for the space group: P-1. For the size of the total moment, the calculation gives 0.0 μB per formula unit. The density of states at the Fermi level is 2.88 states/eV per cell. As for the crystal system: triclinic.

Cell and atoms, written as POSCAR:
```
Ag5H2Se3
1.0
-1.3213 -4.6115 -5.2359
1.2462 -5.7451 4.4428
-7.0977 -0.7609 2.2171
H Ag Se
4 10 6
direct
0.3699 0.0431 0.4361 H
0.6301 0.9569 0.5639 H
0.8433 0.5509 0.0893 H
0.1567 0.4491 0.9107 H
0.5748 0.1822 0.4562 Ag
0.2339 0.3933 0.6503 Ag
0.9263 0.5879 0.8391 Ag
0.1667 0.0293 0.2638 Ag
0.6736 0.3591 0.0641 Ag
0.8333 0.9707 0.7362 Ag
0.0737 0.4121 0.1609 Ag
0.4252 0.8178 0.5438 Ag
0.3264 0.6409 0.9359 Ag
0.7661 0.6067 0.3497 Ag
0.0364 0.7607 0.5291 Se
0.9636 0.2393 0.4709 Se
0.4110 0.4859 0.2944 Se
0.3368 0.9934 0.9585 Se
0.5890 0.5141 0.7056 Se
0.6632 0.0066 0.0415 Se
```



[8]
The following is a PBE-GGA calculation of a geometry-optimized AgH2Se structure, from Alexandria.

Values from the calculation:
For the distance to the lowest polymorph of the same formula, the calculation gives 0.524 eV per atom. Its volume is 100.9 Å³ per cell. As for the space group: I-42d. For the size of the total moment, the calculation gives 0.0 μB per formula unit. The density of states at the Fermi level is 3.06 states/eV per cell. As for the crystal system: tetragonal.

Cell and atoms, written as POSCAR:
```
AgH2Se
1.0
4.0717 0.0000 0.0000
0.0000 4.0717 0.0000
2.0359 2.0359 6.0831
Ag Se H
2 2 4
direct
0.7500 0.2500 0.5000 Ag
0.0000 0.0000 0.0000 Ag
0.2500 0.7500 0.5000 Se
0.5000 0.5000 0.0000 Se
0.8750 0.8438 0.7500 H
0.3750 0.4062 0.7500 H
0.5938 0.1250 0.2500 H
0.1562 0.6250 0.2500 H
```



[9]
The following is a PBE-GGA calculation of a geometry-optimized AgH2Se2 structure, from Alexandria.

Values from the calculation:
For the distance to the lowest polymorph of the same formula, the calculation gives 0.196 eV per atom. Its volume is 76.5 Å³ per cell. As for the space group: I4/mmm. For the size of the total moment, the calculation gives 0.0 μB per formula unit. The density of states at the Fermi level is 1.78 states/eV per cell. As for the crystal system: tetragonal.

Cell and atoms, written as POSCAR:
```
AgH2Se2
1.0
5.3937 0.0000 0.0000
0.0000 5.3937 0.0000
2.6969 2.6969 2.6284
H Se Ag
2 2 1
direct
0.4279 0.4279 0.1443 H
0.5721 0.5721 0.8557 H
0.2500 0.7500 0.5000 Se
0.7500 0.2500 0.5000 Se
0.0000 0.0000 0.0000 Ag
```



[10]
The following is a PBE-GGA calculation of a geometry-optimized AgHSe structure, from Alexandria.

Values from the calculation:
For the distance to the lowest polymorph of the same formula, the calculation gives 0.000 eV per atom. Its volume is 143.8 Å³ per cell. As for the space group: Aem2. For the size of the total moment, the calculation gives 0.0 μB per formula unit. The density of states at the Fermi level is 0.00 states/eV per cell. As for the crystal system: orthorhombic.

Cell and atoms, written as POSCAR:
```
AgHSe
1.0
4.4893 -0.0004 -0.0076
0.0012 7.1287 0.0012
0.0400 -0.0011 4.4924
Ag H Se
2 2 2
direct
0.6914 0.7192 0.9049 Ag
0.1914 0.7192 0.4049 Ag
0.6599 0.4066 0.4368 H
0.1598 0.0318 0.9367 H
0.9282 0.9948 0.1680 Se
0.4283 0.4435 0.6680 Se
```



[11]
The following is a PBE-GGA calculation of a geometry-optimized AgHSe structure, from Alexandria.

Values from the calculation:
For the distance to the lowest polymorph of the same formula, the calculation gives 0.049 eV per atom. Its volume is 137.8 Å³ per cell. As for the space group: C2/m. For the size of the total moment, the calculation gives 0.0 μB per formula unit. As for the crystal system: monoclinic.

Cell and atoms, written as POSCAR:
```
AgHSe
1.0
-4.3391 -1.4426 -0.8118
0.2948 -2.5471 2.9507
-0.1822 3.4435 8.1387
Ag H Se
2 2 2
direct
0.2973 0.0145 0.5946 Ag
0.7027 0.9855 0.4054 Ag
0.9187 0.5487 0.8374 H
0.0813 0.4513 0.1626 H
0.8746 0.9789 0.7492 Se
0.1254 0.0211 0.2508 Se
```



[12]
The following is a PBE-GGA calculation of a geometry-optimized AgHSe structure, from Alexandria.

Values from the calculation:
For the distance to the lowest polymorph of the same formula, the calculation gives 0.045 eV per atom. Its volume is 138.4 Å³ per cell. As for the space group: P-1. For the size of the total moment, the calculation gives 0.0 μB per formula unit. The density of states at the Fermi level is 0.01 states/eV per cell. As for the crystal system: triclinic.

Cell and atoms, written as POSCAR:
```
AgHSe
1.0
4.7637 0.0631 0.0071
-0.0614 4.9371 -1.2088
-2.2078 -3.8945 6.8249
Ag Se H
2 2 2
direct
0.2632 0.3697 0.5276 Ag
0.7368 0.6303 0.4724 Ag
0.1558 0.6130 0.3007 Se
0.8442 0.3870 0.6993 Se
0.9638 0.7303 0.9519 H
0.0362 0.2697 0.0481 H
```